Entry 1:
Below is a geometry-optimized NbCuPt structure, with properties calculated at the PBE level.

Computed properties:
DOS(E_F)	1.58	states/eV/f.u.
excess energy over the best structure of this formula in the dataset	0.0	kJ per mole of atoms
energy relative to the elements	-0.3991	eV/atom

Cell and atoms, written as CIF:
```
data_NbCuPt
_chemical_formula_sum 'Nb1 Cu1 Pt1'
_symmetry_space_group_name_H-M 'P -6 m 2'
_symmetry_Int_Tables_number 187
_symmetry_space_group_name_Hall 'P -6 2'
_cell_length_a 4.3812
_cell_length_b 4.3812
_cell_length_c 2.7479
_cell_angle_alpha 90.00
_cell_angle_beta 90.00
_cell_angle_gamma 120.00
loop_
_atom_site_label
_atom_site_type_symbol
_atom_site_fract_x
_atom_site_fract_y
_atom_site_fract_z
Nb1 Nb 0.0000 0.0000 0.0000
Cu1 Cu 0.3333 0.6667 0.5000
Pt1 Pt 0.6667 0.3333 0.5000
```


Entry 2:
Below is a geometry-optimized Pr7CdAg4 structure, with properties calculated at the PBE level.

Computed properties:
DOS(E_F)	12.71	states/eV/f.u.
energy relative to the elements	-0.0608	eV/atom

Cell and atoms, written as CIF:
```
data_Pr7CdAg4
_chemical_formula_sum 'Pr14 Cd2 Ag8'
_symmetry_space_group_name_H-M 'C 1 2/m 1'
_symmetry_Int_Tables_number 12
_cell_length_a 14.873
_cell_length_b 5.836
_cell_length_c 9.550
_cell_angle_alpha 90.00
_cell_angle_beta 121.59
_cell_angle_gamma 90.00
loop_
_symmetry_equiv_pos_as_xyz
'x,y,z'
'-x,-y,-z'
'-x,y,-z'
'x,-y,z'
'x+1/2,y+1/2,z'
'-x+1/2,-y+1/2,-z'
'-x+1/2,y+1/2,-z'
'x+1/2,-y+1/2,z'
loop_
_atom_site_label
_atom_site_type_symbol
_atom_site_fract_x
_atom_site_fract_y
_atom_site_fract_z
Pr1 Pr 0.000 0.000 0.000
Pr2 Pr 0.073 0.500 0.405
Pr3 Pr 0.190 0.500 0.894
Pr4 Pr 0.225 0.000 0.689
Cd1 Cd 0.000 0.500 0.000
Ag1 Ag 0.023 0.000 0.686
Ag2 Ag 0.188 0.000 0.344
```


Entry 3:
Below is a geometry-optimized SiHg structure, with properties calculated at the PBE level.

Computed properties:
DOS(E_F)	0.66	states/eV/f.u.
uncorrected formation energy	0.459	eV per atom
excess energy over the best structure of this formula in the dataset	30.2	kJ per mole of atoms

Cell and atoms, written as CIF:
```
data_SiHg
_chemical_formula_sum 'Si6 Hg6'
_symmetry_space_group_name_H-M 'P 63/m m c'
_symmetry_Int_Tables_number 194
_symmetry_space_group_name_Hall '-P 6c 2c'
_cell_length_a 8.6640
_cell_length_b 8.6640
_cell_length_c 3.9033
_cell_angle_alpha 90.00
_cell_angle_beta 90.00
_cell_angle_gamma 120.00
loop_
_atom_site_label
_atom_site_type_symbol
_atom_site_fract_x
_atom_site_fract_y
_atom_site_fract_z
Si1 Si 0.1150 0.5575 0.2500
Hg1 Hg 0.1555 0.3109 0.7500
```


Entry 4:
Below is a geometry-optimized Nd4Tm3Sc structure, with properties calculated at the PBE level.

Computed properties:
DOS(E_F)	14.62	states/eV/f.u.
excess energy over the best structure of this formula in the dataset	0.0	kJ per mole of atoms
energy relative to the elements	0.0400	eV/atom

Cell and atoms, written as CIF:
```
data_Nd4Tm3Sc
_chemical_formula_sum 'Nd8 Tm6 Sc2'
_symmetry_space_group_name_H-M 'P m n 21'
_symmetry_Int_Tables_number 31
_cell_length_a 11.376
_cell_length_b 7.256
_cell_length_c 6.225
_cell_angle_alpha 90.00
_cell_angle_beta 90.00
_cell_angle_gamma 90.00
loop_
_symmetry_equiv_pos_as_xyz
'x,y,z'
'-x+1/2,-y,z+1/2'
'-x,y,z'
'x+1/2,-y,z+1/2'
loop_
_atom_site_label
_atom_site_type_symbol
_atom_site_fract_x
_atom_site_fract_y
_atom_site_fract_z
Nd1 Nd 0.000 0.130 0.000
Nd2 Nd 0.000 0.866 0.525
Nd3 Nd 0.241 0.132 0.356
Tm1 Tm 0.000 0.620 0.020
Tm2 Tm 0.250 0.383 0.848
Sc1 Sc 0.000 0.387 0.514
```


Entry 5:
Below is a geometry-optimized Fe2PbAuI structure, with properties calculated at the PBE level.

Computed properties:
DOS(E_F)	3.78	states/eV/f.u.
uncorrected formation energy	1.243	eV per atom

Cell and atoms, written as CIF:
```
data_Fe2PbAuI
_chemical_formula_sum 'Fe2 Pb1 Au1 I1'
_symmetry_space_group_name_H-M 'P 4/m m m'
_symmetry_Int_Tables_number 123
_symmetry_space_group_name_Hall '-P 4 2'
_cell_length_a 4.679
_cell_length_b 4.679
_cell_length_c 6.300
_cell_angle_alpha 90.00
_cell_angle_beta 90.00
_cell_angle_gamma 90.00
loop_
_atom_site_label
_atom_site_type_symbol
_atom_site_fract_x
_atom_site_fract_y
_atom_site_fract_z
Fe1 Fe 0.000 0.500 0.000
Pb1 Pb 0.000 0.000 0.500
Au1 Au 0.500 0.500 0.500
I1 I 0.000 0.000 0.000
```


Entry 6:
Below is a geometry-optimized CaAc2Sn3Ir4 structure, with properties calculated at the PBE level.

Computed properties:
DOS(E_F)	6.26	states/eV/f.u.
energy relative to the elements	-0.5596	eV/atom

Cell and atoms, written as CIF:
```
data_CaAc2Sn3Ir4
_chemical_formula_sum 'Ca1 Ac2 Sn3 Ir4'
_symmetry_space_group_name_H-M 'P -4 m 2'
_symmetry_Int_Tables_number 115
_cell_length_a 4.457
_cell_length_b 4.457
_cell_length_c 11.818
_cell_angle_alpha 90.00
_cell_angle_beta 90.00
_cell_angle_gamma 90.00
loop_
_symmetry_equiv_pos_as_xyz
'x,y,z'
'y,-x,-z'
'-x,-y,z'
'-y,x,-z'
'-x,y,z'
'-y,-x,-z'
'x,-y,z'
'y,x,-z'
loop_
_atom_site_label
_atom_site_type_symbol
_atom_site_fract_x
_atom_site_fract_y
_atom_site_fract_z
Ca1 Ca 0.000 0.000 0.000
Ac1 Ac 0.000 0.500 0.741
Sn1 Sn 0.000 0.500 0.377
Sn2 Sn 0.500 0.500 0.000
Ir1 Ir 0.000 0.000 0.500
Ir2 Ir 0.000 0.500 0.151
Ir3 Ir 0.500 0.500 0.500
```


Entry 7:
Below is a geometry-optimized AcSm2Cl8 structure, with properties calculated at the PBE level.

Computed properties:
DOS(E_F)	3.54	states/eV/f.u.
uncorrected formation energy	-2.142	eV per atom

Cell and atoms, written as CIF:
```
data_AcSm2Cl8
_chemical_formula_sum 'Ac2 Sm4 Cl16'
_symmetry_space_group_name_H-M 'C 1 2/m 1'
_symmetry_Int_Tables_number 12
_cell_length_a 8.552
_cell_length_b 12.559
_cell_length_c 5.358
_cell_angle_alpha 90.00
_cell_angle_beta 106.04
_cell_angle_gamma 90.00
loop_
_symmetry_equiv_pos_as_xyz
'x,y,z'
'-x,-y,-z'
'-x,y,-z'
'x,-y,z'
'x+1/2,y+1/2,z'
'-x+1/2,-y+1/2,-z'
'-x+1/2,y+1/2,-z'
'x+1/2,-y+1/2,z'
loop_
_atom_site_label
_atom_site_type_symbol
_atom_site_fract_x
_atom_site_fract_y
_atom_site_fract_z
Ac1 Ac 0.000 0.000 0.000
Sm1 Sm 0.000 0.318 0.500
Cl1 Cl 0.000 0.238 0.000
Cl2 Cl 0.130 0.500 0.819
Cl3 Cl 0.191 0.128 0.576
```


Entry 8:
Below is a geometry-optimized Tb8InHg2 structure, with properties calculated at the PBE level.

Computed properties:
DOS(E_F)	14.62	states/eV/f.u.
excess energy over the best structure of this formula in the dataset	3.8	kJ per mole of atoms
energy relative to the elements	-0.1505	eV/atom

Cell and atoms, written as CIF:
```
data_Tb8InHg2
_chemical_formula_sum 'Tb16 In2 Hg4'
_symmetry_space_group_name_H-M 'C 1 2/m 1'
_symmetry_Int_Tables_number 12
_cell_length_a 8.815
_cell_length_b 14.660
_cell_length_c 5.467
_cell_angle_alpha 90.00
_cell_angle_beta 110.77
_cell_angle_gamma 90.00
loop_
_symmetry_equiv_pos_as_xyz
'x,y,z'
'-x,-y,-z'
'-x,y,-z'
'x,-y,z'
'x+1/2,y+1/2,z'
'-x+1/2,-y+1/2,-z'
'-x+1/2,y+1/2,-z'
'x+1/2,-y+1/2,z'
loop_
_atom_site_label
_atom_site_type_symbol
_atom_site_fract_x
_atom_site_fract_y
_atom_site_fract_z
Tb1 Tb 0.000 0.224 0.000
Tb2 Tb 0.102 0.500 0.803
Tb3 Tb 0.206 0.114 0.603
In1 In 0.000 0.000 0.000
Hg1 Hg 0.000 0.307 0.500
```


Entry 9:
Below is a geometry-optimized BaIrRh2 structure, with properties calculated at the PBE level.

Computed properties:
DOS(E_F)	4.94	states/eV/f.u.
excess energy over the best structure of this formula in the dataset	1.4	kJ per mole of atoms
energy relative to the elements	-0.0077	eV/atom

Cell and atoms, written as CIF:
```
data_BaIrRh2
_chemical_formula_sum 'Ba3 Ir3 Rh6'
_symmetry_space_group_name_H-M 'R 3 m'
_symmetry_Int_Tables_number 160
_symmetry_space_group_name_Hall 'R 3 -2"'
_cell_length_a 4.4685
_cell_length_b 4.4685
_cell_length_c 16.8807
_cell_angle_alpha 90.00
_cell_angle_beta 90.00
_cell_angle_gamma 120.00
loop_
_atom_site_label
_atom_site_type_symbol
_atom_site_fract_x
_atom_site_fract_y
_atom_site_fract_z
Ba1 Ba 0.0000 0.0000 0.0000
Ir1 Ir 0.0000 0.0000 0.8152
Rh1 Rh 0.0000 0.0000 0.1840
Rh2 Rh 0.0000 0.0000 0.4919
```


Entry 10:
Below is a geometry-optimized ZnAu3S structure, with properties calculated at the PBE level.

Computed properties:
DOS(E_F)	1.86	states/eV/f.u.
uncorrected formation energy	0.487	eV per atom
excess energy over the best structure of this formula in the dataset	0.0	kJ per mole of atoms

Cell and atoms, written as CIF:
```
data_ZnAu3S
_chemical_formula_sum 'Zn1 Au3 S1'
_symmetry_space_group_name_H-M 'P m -3 m'
_symmetry_Int_Tables_number 221
_symmetry_space_group_name_Hall '-P 4 2 3'
_cell_length_a 4.869
_cell_length_b 4.869
_cell_length_c 4.869
_cell_angle_alpha 90.00
_cell_angle_beta 90.00
_cell_angle_gamma 90.00
loop_
_atom_site_label
_atom_site_type_symbol
_atom_site_fract_x
_atom_site_fract_y
_atom_site_fract_z
Zn1 Zn 0.000 0.000 0.000
Au1 Au 0.000 0.500 0.500
S1 S 0.500 0.500 0.500
```


- What is the DOS(E_F) in the seventh record?
  3.54 states/eV/f.u.


- What is the DOS(E_F) in the fourth record?
  14.62 states/eV/f.u.


- Which formula does entry 8 have?
  Tb8InHg2


- DOS(E_F) of number 6 (CaAc2Sn3Ir4)?
  6.26 states/eV/f.u.